(1)
## Mg2GeAu2 (GGA-PBE)

Data for Mg2GeAu2 after structural relaxation.

Values from the calculation:
As for the energy above the lowest structure with this stoichiometry: 97.1 meV per atom.

Lattice parameters (Å, degrees): 7.7980 7.7980 3.1791 90.00 90.00 90.00
With the nearest neighbours (Å) after each atom.
Sites, in units of the cell vectors:
Mg  0.1518  0.3482  0.0000  6 Au 2.77-2.79, 2 Ge 2.96
Mg  0.3482  0.8482  0.0000  6 Au 2.77-2.79, 2 Ge 2.96
Mg  0.6518  0.1518  0.0000  6 Au 2.77-2.79, 2 Ge 2.96
Mg  0.8482  0.6518  0.0000  6 Au 2.77-2.79, 2 Ge 2.96
Ge  0.0000  0.0000  0.0000  4 Mg 2.96, 2 Ge 3.18
Ge  0.5000  0.5000  0.0000  4 Mg 2.96, 2 Ge 3.18
Au  0.1423  0.6423  0.5000  6 Mg 2.77-2.79
Au  0.3577  0.1423  0.5000  6 Mg 2.77-2.79
Au  0.6423  0.8577  0.5000  6 Mg 2.77-2.79
Au  0.8577  0.3577  0.5000  6 Mg 2.77-2.79


(2)
## Ca3Hg2Pb2Au4 (GGA-PBE)

Data for Ca3Hg2Pb2Au4 after structural relaxation.

Lattice parameters (Å, degrees): 4.8648 4.8648 13.9384 90.00 90.00 120.00
With the nearest neighbours (Å) after each atom.
Sites, in units of the cell vectors:
Ca  0.0000  0.0000  0.0000  6 Au 3.32, 6 Hg 3.39, 2 Ca 3.64
Ca  0.0000  0.0000  0.2609  6 Au 3.16-3.37, 3 Hg 3.30
Ca  0.0000  0.0000  0.7391  6 Au 3.16-3.37, 3 Hg 3.30
Hg  0.3333  0.6667  0.1364  3 Au 2.81
Hg  0.6667  0.3333  0.8636  3 Au 2.81
Pb  0.3333  0.6667  0.5831  4 Au 2.90-3.03
Pb  0.6667  0.3333  0.4169  4 Au 2.90-3.03
Au  0.3333  0.6667  0.3654  4 Pb 2.90-3.03, 3 Ca 3.16, 1 Hg 3.19
Au  0.3333  0.6667  0.8727  3 Hg 2.81
Au  0.6667  0.3333  0.1273  3 Hg 2.81
Au  0.6667  0.3333  0.6346  4 Pb 2.90-3.03, 3 Ca 3.16, 1 Hg 3.19


How do the records compare in calculated formation energy? In the order shown, they have -0.263 -0.483 eV per atom.